Model 1:
# Cs2Si2S | Alexandria | PBE-GGA | relaxed
# * V: 37.208 A^3/atom
# * total moment: 0.0 μB/f.u.
data_Cs2Si2S
_chemical_formula_sum 'Cs4 Si4 S2'
_cell_length_a 7.224
_cell_length_b 7.224
_cell_length_c 7.131
_cell_angle_alpha 90.00
_cell_angle_beta 90.00
_cell_angle_gamma 90.00
_symmetry_space_group_name_H-M 'I 4/m m m'
_symmetry_Int_Tables_number 139
_symmetry_space_group_name_Hall '-I 4 2'
loop_
_atom_site_label
_atom_site_fract_x
_atom_site_fract_y
_atom_site_fract_z
Cs1 0.000 0.500 0.250
Si1 0.000 0.000 0.155
S1 0.000 0.000 0.500

=====

Model 2:
# Cs2Si2S | Alexandria | PBE-GGA | relaxed
# * V: 32.320 A^3/atom
# * total moment: 0.0 μB/f.u.
data_Cs2Si2S
_chemical_formula_sum 'Cs4 Si4 S2'
_cell_length_a 7.521
_cell_length_b 7.521
_cell_length_c 5.713
_cell_angle_alpha 90.00
_cell_angle_beta 90.00
_cell_angle_gamma 90.00
_symmetry_space_group_name_H-M 'P 4/m b m'
_symmetry_Int_Tables_number 127
_symmetry_space_group_name_Hall '-P 4 2ab'
loop_
_atom_site_label
_atom_site_fract_x
_atom_site_fract_y
_atom_site_fract_z
Cs1 0.207 0.293 0.000
Si1 0.106 0.606 0.500
S1 0.000 0.000 0.500

=====

Which one sits at the top of the stability order? model 1 does.

=====

Model 1:
# CsTbSiS4 | Alexandria | PBE-GGA | relaxed
# * V: 27.826 A^3/atom
# * total moment: 0.0 μB/f.u.
data_CsTbSiS4
_chemical_formula_sum 'Cs2 Tb2 Si2 S8'
_cell_length_a 6.424
_cell_length_b 6.738
_cell_length_c 9.479
_cell_angle_alpha 90.00
_cell_angle_beta 108.29
_cell_angle_gamma 90.00
_symmetry_space_group_name_H-M 'P 1 21/m 1'
_symmetry_Int_Tables_number 11
loop_
_symmetry_equiv_pos_as_xyz
'x,y,z'
'-x,-y,-z'
'-x,y+1/2,-z'
'x,-y+1/2,z'
loop_
_atom_site_label
_atom_site_fract_x
_atom_site_fract_y
_atom_site_fract_z
Cs1 0.231 0.250 0.437
Tb1 0.275 0.250 0.955
Si1 0.279 0.750 0.159
S1 0.076 0.750 0.935
S2 0.086 0.750 0.303
S3 0.499 0.003 0.806

=====

Model 2:
# CsTbSiS4 | Alexandria | PBE-GGA | relaxed
# * V: 27.947 A^3/atom
# * total moment: 0.0 μB/f.u.
data_CsTbSiS4
_chemical_formula_sum 'Cs4 Tb4 Si4 S16'
_cell_length_a 6.444
_cell_length_b 6.745
_cell_length_c 18.001
_cell_angle_alpha 90.00
_cell_angle_beta 90.00
_cell_angle_gamma 90.00
_symmetry_space_group_name_H-M 'P 21 21 21'
_symmetry_Int_Tables_number 19
loop_
_symmetry_equiv_pos_as_xyz
'x,y,z'
'-x+1/2,-y,z+1/2'
'x+1/2,-y+1/2,-z'
'-x,y+1/2,-z+1/2'
loop_
_atom_site_label
_atom_site_fract_x
_atom_site_fract_y
_atom_site_fract_z
Cs1 0.017 0.006 0.468
Tb1 0.209 0.022 0.728
Si1 0.209 0.516 0.331
S1 0.052 0.011 0.098
S2 0.068 0.255 0.852
S3 0.106 0.576 0.220
S4 0.106 0.747 0.842

=====

Which one sits at the top of the stability order? model 2 does.

=====

Model 1:
# Cs4SnS4 | Alexandria | PBE-GGA | relaxed
# * V: 40.138 A^3/atom
# * total moment: 0.0 μB/f.u.
data_Cs4SnS4
_chemical_formula_sum 'Cs8 Sn2 S8'
_cell_length_a 9.757
_cell_length_b 9.757
_cell_length_c 7.589
_cell_angle_alpha 90.00
_cell_angle_beta 90.00
_cell_angle_gamma 90.00
_symmetry_space_group_name_H-M 'P 42/n m c'
_symmetry_Int_Tables_number 137
loop_
_symmetry_equiv_pos_as_xyz
'x,y,z'
'-x,-y,-z'
'-y+1/2,x,z+1/2'
'y+1/2,-x,-z+1/2'
'-x+1/2,-y+1/2,z'
'x+1/2,y+1/2,-z'
'y,-x+1/2,z+1/2'
'-y,x+1/2,-z+1/2'
'x+1/2,-y,-z'
'-x+1/2,y,z'
'-y,-x,-z+1/2'
'y,x,z+1/2'
'-x,y+1/2,-z'
'x,-y+1/2,z'
'y+1/2,x+1/2,-z+1/2'
'-y+1/2,-x+1/2,z+1/2'
loop_
_atom_site_label
_atom_site_fract_x
_atom_site_fract_y
_atom_site_fract_z
Cs1 0.027 0.250 0.104
Sn1 0.250 0.750 0.250
S1 0.045 0.750 0.433

=====

Model 2:
# Cs4SnS4 | Alexandria | PBE-GGA | relaxed
# * V: 41.392 A^3/atom
# * total moment: 0.0 μB/f.u.
data_Cs4SnS4
_chemical_formula_sum 'Cs8 Sn2 S8'
_cell_length_a 10.314
_cell_length_b 10.314
_cell_length_c 7.004
_cell_angle_alpha 90.00
_cell_angle_beta 90.00
_cell_angle_gamma 90.00
_symmetry_space_group_name_H-M 'I 4/m'
_symmetry_Int_Tables_number 87
_symmetry_space_group_name_Hall '-I 4'
loop_
_atom_site_label
_atom_site_fract_x
_atom_site_fract_y
_atom_site_fract_z
Cs1 0.091 0.297 0.000
Sn1 0.000 0.000 0.500
S1 0.075 0.231 0.500

=====

Which one sits at the top of the stability order? model 1 does.

=====

Model 1:
# Cs2SnS | Alexandria | PBE-GGA | relaxed
# * V: 42.719 A^3/atom
# * total moment: 2.0 μB/f.u.
data_Cs2SnS
_chemical_formula_sum 'Cs8 Sn4 S4'
_cell_length_a 8.809
_cell_length_b 8.809
_cell_length_c 8.809
_cell_angle_alpha 90.00
_cell_angle_beta 90.00
_cell_angle_gamma 90.00
_symmetry_space_group_name_H-M 'F m -3 m'
_symmetry_Int_Tables_number 225
_symmetry_space_group_name_Hall '-F 4 2 3'
loop_
_atom_site_label
_atom_site_fract_x
_atom_site_fract_y
_atom_site_fract_z
Cs1 0.250 0.250 0.250
Sn1 0.000 0.000 0.000
S1 0.000 0.000 0.500

=====

Model 2:
# Cs2SnS | Alexandria | PBE-GGA | relaxed
# * V: 41.700 A^3/atom
# * total moment: 0.0 μB/f.u.
data_Cs2SnS
_chemical_formula_sum 'Cs2 Sn1 S1'
_cell_length_a 3.532
_cell_length_b 11.202
_cell_length_c 4.216
_cell_angle_alpha 90.00
_cell_angle_beta 90.15
_cell_angle_gamma 90.00
_symmetry_space_group_name_H-M 'P 1 m 1'
_symmetry_Int_Tables_number 6
loop_
_symmetry_equiv_pos_as_xyz
'x,y,z'
'x,-y,z'
loop_
_atom_site_label
_atom_site_fract_x
_atom_site_fract_y
_atom_site_fract_z
Cs1 0.000 0.182 0.000
Sn1 0.494 0.500 0.499
S1 0.500 0.000 0.500

=====

Which one sits at the top of the stability order? model 2 does.

=====

Model 1:
# Cs2SrS | Alexandria | PBE-GGA | relaxed
# * V: 66.203 A^3/atom
# * total moment: 0.0 μB/f.u.
data_Cs2SrS
_chemical_formula_sum 'Cs8 Sr4 S4'
_cell_length_a 13.609
_cell_length_b 13.609
_cell_length_c 5.719
_cell_angle_alpha 90.00
_cell_angle_beta 90.00
_cell_angle_gamma 90.00
_symmetry_space_group_name_H-M 'I -4 2 d'
_symmetry_Int_Tables_number 122
_symmetry_space_group_name_Hall 'I -4 2bw'
loop_
_atom_site_label
_atom_site_fract_x
_atom_site_fract_y
_atom_site_fract_z
Cs1 0.086 0.250 0.125
Sr1 0.000 0.000 0.500
S1 0.000 0.000 0.000

=====

Model 2:
# Cs2SrS | Alexandria | PBE-GGA | relaxed
# * V: 51.342 A^3/atom
# * total moment: 0.0 μB/f.u.
data_Cs2SrS
_chemical_formula_sum 'Cs8 Sr4 S4'
_cell_length_a 9.365
_cell_length_b 9.365
_cell_length_c 9.365
_cell_angle_alpha 90.00
_cell_angle_beta 90.00
_cell_angle_gamma 90.00
_symmetry_space_group_name_H-M 'F m -3 m'
_symmetry_Int_Tables_number 225
_symmetry_space_group_name_Hall '-F 4 2 3'
loop_
_atom_site_label
_atom_site_fract_x
_atom_site_fract_y
_atom_site_fract_z
Cs1 0.250 0.250 0.250
Sr1 0.000 0.000 0.000
S1 0.000 0.000 0.500

=====

Which one sits at the top of the stability order? model 1 does.

=====

Model 1:
# CsTa3S | Alexandria | PBE-GGA | relaxed
# * V: 25.748 A^3/atom
# * total moment: 0.0 μB/f.u.
data_CsTa3S
_chemical_formula_sum 'Cs1 Ta3 S1'
_cell_length_a 5.049
_cell_length_b 5.049
_cell_length_c 5.049
_cell_angle_alpha 90.00
_cell_angle_beta 90.00
_cell_angle_gamma 90.00
_symmetry_space_group_name_H-M 'P m -3 m'
_symmetry_Int_Tables_number 221
_symmetry_space_group_name_Hall '-P 4 2 3'
loop_
_atom_site_label
_atom_site_fract_x
_atom_site_fract_y
_atom_site_fract_z
Cs1 0.000 0.000 0.000
Ta1 0.000 0.000 0.500
S1 0.500 0.500 0.500

=====

Model 2:
# CsTa3S | Alexandria | PBE-GGA | relaxed
# * V: 22.021 A^3/atom
# * total moment: 0.0 μB/f.u.
data_CsTa3S
_chemical_formula_sum 'Cs1 Ta3 S1'
_cell_length_a 4.793
_cell_length_b 4.793
_cell_length_c 4.793
_cell_angle_alpha 90.00
_cell_angle_beta 90.00
_cell_angle_gamma 90.00
_symmetry_space_group_name_H-M 'P m -3 m'
_symmetry_Int_Tables_number 221
_symmetry_space_group_name_Hall '-P 4 2 3'
loop_
_atom_site_label
_atom_site_fract_x
_atom_site_fract_y
_atom_site_fract_z
Cs1 0.000 0.000 0.000
Ta1 0.000 0.500 0.500
S1 0.500 0.500 0.500

=====

Which one sits at the top of the stability order? model 2 does.

=====

Model 1:
# Cs2TaS4 | Alexandria | PBE-GGA | relaxed
# * V: 32.280 A^3/atom
# * total moment: 1.0 μB/f.u.
data_Cs2TaS4
_chemical_formula_sum 'Cs4 Ta2 S8'
_cell_length_a 8.372
_cell_length_b 6.815
_cell_length_c 8.527
_cell_angle_alpha 90.00
_cell_angle_beta 111.74
_cell_angle_gamma 90.00
_symmetry_space_group_name_H-M 'P 1 21/m 1'
_symmetry_Int_Tables_number 11
loop_
_symmetry_equiv_pos_as_xyz
'x,y,z'
'-x,-y,-z'
'-x,y+1/2,-z'
'x,-y+1/2,z'
loop_
_atom_site_label
_atom_site_fract_x
_atom_site_fract_y
_atom_site_fract_z
Cs1 0.008 0.250 0.342
Cs2 0.334 0.250 0.000
Ta1 0.413 0.750 0.388
S1 0.099 0.750 0.293
S2 0.284 0.750 0.089
S3 0.393 0.509 0.615

=====

Model 2:
# Cs2TaS4 | Alexandria | PBE-GGA | relaxed
# * V: 30.963 A^3/atom
# * total moment: 1.0 μB/f.u.
data_Cs2TaS4
_chemical_formula_sum 'Cs4 Ta2 S8'
_cell_length_a 4.973
_cell_length_b 4.973
_cell_length_c 17.526
_cell_angle_alpha 90.00
_cell_angle_beta 90.00
_cell_angle_gamma 90.00
_symmetry_space_group_name_H-M 'I 4/m m m'
_symmetry_Int_Tables_number 139
_symmetry_space_group_name_Hall '-I 4 2'
loop_
_atom_site_label
_atom_site_fract_x
_atom_site_fract_y
_atom_site_fract_z
Cs1 0.000 0.000 0.150
Ta1 0.000 0.000 0.500
S1 0.000 0.000 0.364
S2 0.000 0.500 0.000

=====

Which one sits at the top of the stability order? model 1 does.

=====

Model 1:
# Cs3TbS3 | Alexandria | PBE-GGA | relaxed
# * V: 42.105 A^3/atom
# * total moment: 0.0 μB/f.u.
data_Cs3TbS3
_chemical_formula_sum 'Cs12 Tb4 S12'
_cell_length_a 9.532
_cell_length_b 14.719
_cell_length_c 8.576
_cell_angle_alpha 90.00
_cell_angle_beta 101.52
_cell_angle_gamma 90.00
_symmetry_space_group_name_H-M 'C 1 2/m 1'
_symmetry_Int_Tables_number 12
loop_
_symmetry_equiv_pos_as_xyz
'x,y,z'
'-x,-y,-z'
'-x,y,-z'
'x,-y,z'
'x+1/2,y+1/2,z'
'-x+1/2,-y+1/2,-z'
'-x+1/2,y+1/2,-z'
'x+1/2,-y+1/2,z'
loop_
_atom_site_label
_atom_site_fract_x
_atom_site_fract_y
_atom_site_fract_z
Cs1 0.000 0.185 0.000
Cs2 0.000 0.253 0.500
Cs3 0.124 0.500 0.861
Tb1 0.175 0.000 0.642
S1 0.095 0.000 0.325
S2 0.194 0.357 0.229

=====

Model 2:
# Cs3TbS3 | Alexandria | PBE-GGA | relaxed
# * V: 40.937 A^3/atom
# * total moment: 0.0 μB/f.u.
data_Cs3TbS3
_chemical_formula_sum 'Cs12 Tb4 S12'
_cell_length_a 8.699
_cell_length_b 14.784
_cell_length_c 11.198
_cell_angle_alpha 90.00
_cell_angle_beta 127.26
_cell_angle_gamma 90.00
_symmetry_space_group_name_H-M 'P 1 21/c 1'
_symmetry_Int_Tables_number 14
loop_
_symmetry_equiv_pos_as_xyz
'x,y,z'
'-x,-y,-z'
'-x,y+1/2,-z+1/2'
'x,-y+1/2,z+1/2'
loop_
_atom_site_label
_atom_site_fract_x
_atom_site_fract_y
_atom_site_fract_z
Cs1 0.112 0.124 0.475
Cs2 0.168 0.111 0.884
Cs3 0.326 0.672 0.538
Tb1 0.449 0.067 0.340
S1 0.186 0.192 0.203
S2 0.331 0.593 0.865
S3 0.365 0.544 0.269

=====

Which one sits at the top of the stability order? model 1 does.

=====

Model 1:
# CsTc3S | Alexandria | PBE-GGA | relaxed
# * V: 25.367 A^3/atom
# * total moment: 7.2 μB/f.u.
data_CsTc3S
_chemical_formula_sum 'Cs1 Tc3 S1'
_cell_length_a 5.024
_cell_length_b 5.024
_cell_length_c 5.024
_cell_angle_alpha 90.00
_cell_angle_beta 90.00
_cell_angle_gamma 90.00
_symmetry_space_group_name_H-M 'P m -3 m'
_symmetry_Int_Tables_number 221
_symmetry_space_group_name_Hall '-P 4 2 3'
loop_
_atom_site_label
_atom_site_fract_x
_atom_site_fract_y
_atom_site_fract_z
Cs1 0.000 0.000 0.000
Tc1 0.000 0.000 0.500
S1 0.500 0.500 0.500

=====

Model 2:
# CsTc3S | Alexandria | PBE-GGA | relaxed
# * V: 19.675 A^3/atom
# * total moment: 3.0 μB/f.u.
data_CsTc3S
_chemical_formula_sum 'Cs1 Tc3 S1'
_cell_length_a 4.616
_cell_length_b 4.616
_cell_length_c 4.616
_cell_angle_alpha 90.00
_cell_angle_beta 90.00
_cell_angle_gamma 90.00
_symmetry_space_group_name_H-M 'P m -3 m'
_symmetry_Int_Tables_number 221
_symmetry_space_group_name_Hall '-P 4 2 3'
loop_
_atom_site_label
_atom_site_fract_x
_atom_site_fract_y
_atom_site_fract_z
Cs1 0.000 0.000 0.000
Tc1 0.000 0.500 0.500
S1 0.500 0.500 0.500

=====

Which one sits at the top of the stability order? model 2 does.

=====

Model 1:
# CsTcS3 | Alexandria | PBE-GGA | relaxed
# * V: 32.665 A^3/atom
# * total moment: 0.0 μB/f.u.
data_CsTcS3
_chemical_formula_sum 'Cs4 Tc4 S12'
_cell_length_a 8.008
_cell_length_b 6.107
_cell_length_c 15.090
_cell_angle_alpha 90.00
_cell_angle_beta 117.72
_cell_angle_gamma 90.00
_symmetry_space_group_name_H-M 'P 1 21/c 1'
_symmetry_Int_Tables_number 14
loop_
_symmetry_equiv_pos_as_xyz
'x,y,z'
'-x,-y,-z'
'-x,y+1/2,-z+1/2'
'x,-y+1/2,z+1/2'
loop_
_atom_site_label
_atom_site_fract_x
_atom_site_fract_y
_atom_site_fract_z
Cs1 0.119 0.236 0.149
Tc1 0.425 0.207 0.478
S1 0.113 0.229 0.395
S2 0.399 0.557 0.559
S3 0.455 0.556 0.872

=====

Model 2:
# CsTcS3 | Alexandria | PBE-GGA | relaxed
# * V: 22.241 A^3/atom
# * total moment: 0.0 μB/f.u.
data_CsTcS3
_chemical_formula_sum 'Cs1 Tc1 S3'
_cell_length_a 4.809
_cell_length_b 4.809
_cell_length_c 4.809
_cell_angle_alpha 90.00
_cell_angle_beta 90.00
_cell_angle_gamma 90.00
_symmetry_space_group_name_H-M 'P m -3 m'
_symmetry_Int_Tables_number 221
_symmetry_space_group_name_Hall '-P 4 2 3'
loop_
_atom_site_label
_atom_site_fract_x
_atom_site_fract_y
_atom_site_fract_z
Cs1 0.000 0.000 0.000
Tc1 0.500 0.500 0.500
S1 0.000 0.500 0.500

=====

Which one sits at the top of the stability order? model 1 does.

=====

Model 1:
# Cs2TeS2 | Alexandria | PBE-GGA | relaxed
# * V: 43.278 A^3/atom
# * total moment: 0.0 μB/f.u.
data_Cs2TeS2
_chemical_formula_sum 'Cs4 Te2 S4'
_cell_length_a 7.107
_cell_length_b 8.214
_cell_length_c 8.948
_cell_angle_alpha 93.35
_cell_angle_beta 109.30
_cell_angle_gamma 115.44
_symmetry_space_group_name_H-M 'P -1'
_symmetry_Int_Tables_number 2
loop_
_symmetry_equiv_pos_as_xyz
'x,y,z'
'-x,-y,-z'
loop_
_atom_site_label
_atom_site_fract_x
_atom_site_fract_y
_atom_site_fract_z
Cs1 0.103 0.443 0.283
Cs2 0.278 0.168 0.856
Te1 0.418 0.116 0.354
S1 0.227 0.856 0.123
S2 0.427 0.597 0.734

=====

Model 2:
# Cs2TeS2 | Alexandria | PBE-GGA | relaxed
# * V: 40.382 A^3/atom
# * total moment: 0.0 μB/f.u.
data_Cs2TeS2
_chemical_formula_sum 'Cs8 Te4 S8'
_cell_length_a 5.189
_cell_length_b 21.110
_cell_length_c 7.373
_cell_angle_alpha 90.00
_cell_angle_beta 90.00
_cell_angle_gamma 90.00
_symmetry_space_group_name_H-M 'C m c 21'
_symmetry_Int_Tables_number 36
loop_
_symmetry_equiv_pos_as_xyz
'x,y,z'
'-x,-y,z+1/2'
'-x,y,z'
'x,-y,z+1/2'
'x+1/2,y+1/2,z'
'-x+1/2,-y+1/2,z+1/2'
'-x+1/2,y+1/2,z'
'x+1/2,-y+1/2,z+1/2'
loop_
_atom_site_label
_atom_site_fract_x
_atom_site_fract_y
_atom_site_fract_z
Cs1 0.000 0.019 0.000
Cs2 0.000 0.203 0.758
Te1 0.000 0.381 0.859
S1 0.000 0.150 0.310
S2 0.000 0.412 0.177

=====

Which one sits at the top of the stability order? model 1 does.